LiCo3OF5: optimized geometry, PBE with a Hubbard U.

Cell: 6.0550 6.1437 6.1566 Å, 92.45 91.78 92.33°
Closest atoms and distances in Å follow each position.
Atoms (fractional coordinates):
Li (0.0000, 0.0000, 0.0000)  5 F 1.95-2.09, 1 O 2.03
Li (0.4840, 0.4871, 0.4911)  1 O 2.03, 5 F 2.03-2.16
Co (0.0481, 0.7497, 0.6035)  1 O 1.93, 3 F 2.05-2.15
Co (0.2402, 0.4533, 0.9387)  1 O 1.92, 3 F 2.08-2.14
Co (0.4196, 0.9564, 0.2605)  1 O 1.93, 3 F 2.07-2.15
Co (0.5592, 0.0777, 0.7374)  1 O 1.97, 4 F 2.08-2.19
Co (0.7682, 0.6020, 0.0601)  1 O 1.96, 4 F 2.06-2.17
Co (0.9024, 0.2392, 0.4197)  1 O 1.97, 4 F 2.03-2.17
O (0.0369, 0.6829, 0.9072)  3 Co 1.92-1.96, 1 Li 2.03
O (0.5812, 0.1781, 0.4388)  3 Co 1.93-1.97, 1 Li 2.03
F (0.0862, 0.9553, 0.3256)  3 Co 2.07-2.18, 1 Li 2.09
F (0.1663, 0.4071, 0.5737)  3 Co 2.05-2.28, 1 Li 2.05
F (0.3101, 0.1212, 0.9629)  1 Li 2.01, 3 Co 2.10-2.23
F (0.3942, 0.8010, 0.5948)  3 Co 2.08-2.31, 1 Li 2.10
F (0.4229, 0.6104, 0.1961)  1 Li 2.03, 2 Co 2.08-2.15
F (0.5699, 0.4333, 0.8270)  3 Co 2.06-2.23, 1 Li 2.16
F (0.6705, 0.9213, 0.0315)  1 Li 2.05, 3 Co 2.08-2.19
F (0.8085, 0.5935, 0.4044)  3 Co 2.05-2.28, 1 Li 2.14
F (0.9046, 0.0519, 0.7016)  1 Li 1.95, 3 Co 2.12-2.15
F (0.9499, 0.3101, 0.1059)  1 Li 2.02, 3 Co 2.03-2.23

Results
The value obtained for the energy above the lowest structure with this stoichiometry is 0.0 kJ/mol of atoms. The symmetry is P1, No. 1. For the total energy, the calculation gives -102.829 eV/cell.